La7Pm12Sm | PBE | relaxed

M_tot (μB/f.u.): 0.00
Formation energy from the elements (eV/atom): 0.558
Calculated volume (A^3/atom): 38.999
E above lowest polymorph (meV/atom): 348

a b c (Å): 10.0438 10.0438 10.0438
angles (deg): 109.47 109.47 109.47
Last column: nearest neighbours and their distance in Å.
Fractional positions:
La1 0.5000 0.5000 0.0000  12 Pm 4.10-4.13
La2 0.0000 0.5000 0.5000  12 Pm 4.10-4.13
La3 0.5000 0.0000 0.5000  12 Pm 4.10-4.13
La4 0.5000 0.5000 0.5000  6 Pm 2.90
La5 0.0000 0.0000 0.5000  6 Pm 2.90
La6 0.5000 0.0000 0.0000  6 Pm 2.90
La7 0.0000 0.5000 0.0000  6 Pm 2.90
Pm1 0.5036 0.7521 0.7515  2 La 2.90
Pm2 0.0006 0.7521 0.2485  2 La 2.90
Pm3 0.4964 0.2479 0.2485  2 La 2.90
Pm4 0.9994 0.2479 0.7515  2 La 2.90
Pm5 0.7515 0.9994 0.2479  2 La 2.90
Pm6 0.7515 0.5036 0.7521  2 La 2.90
Pm7 0.2485 0.0006 0.7521  2 La 2.90
Pm8 0.2485 0.4964 0.2479  2 La 2.90
Pm9 0.7521 0.7515 0.5036  2 La 2.90
Pm10 0.2479 0.2485 0.4964  2 La 2.90
Pm11 0.7521 0.2485 0.0006  2 La 2.90
Pm12 0.2479 0.7515 0.9994  2 La 2.90
Sm1 0.0000 0.0000 0.0000  12 Pm 4.07

La8PmSm2 | PBE | relaxed

M_tot (μB/f.u.): 0.00
Formation energy from the elements (eV/atom): 0.139
Calculated volume (A^3/atom): 37.612
E above lowest polymorph (meV/atom): 125

a b c (Å): 5.8528 10.4683 10.4683
angles (deg): 40.25 93.11 93.11
Last column: nearest neighbours and their distance in Å.
Fractional positions:
La1 0.2670 0.1408 0.5992  3 La 3.30-3.67, 1 Sm 3.59, 1 Pm 3.64
La2 0.2670 0.5992 0.1408  3 La 3.30-3.67, 1 Sm 3.59, 1 Pm 3.64
La3 0.7330 0.8592 0.4008  3 La 3.30-3.67, 1 Sm 3.59, 1 Pm 3.64
La4 0.2362 0.5443 0.5443  1 La 3.18, 1 Sm 3.39
La5 0.7330 0.4008 0.8592  3 La 3.30-3.67, 1 Sm 3.59, 1 Pm 3.64
La6 0.2325 0.1853 0.1853  4 Sm 3.45-3.66, 4 La 3.63-3.73, 1 Pm 3.81
La7 0.7675 0.8147 0.8147  4 Sm 3.45-3.66, 4 La 3.63-3.73, 1 Pm 3.81
La8 0.7638 0.4557 0.4557  1 La 3.18, 1 Sm 3.39
Pm1 0.0000 0.0000 0.0000  10 La 3.64-3.94
Sm1 0.7411 0.2831 0.2831  9 La 3.39-3.73
Sm2 0.2589 0.7169 0.7169  9 La 3.39-3.73

La2Pm7Sm2 | PBE | relaxed

M_tot (μB/f.u.): 0.00
Formation energy from the elements (eV/atom): 0.141
Calculated volume (A^3/atom): 35.373
E above lowest polymorph (meV/atom): 0

a b c (Å): 8.8773 6.1969 8.8773
angles (deg): 63.52 96.60 116.48
Last column: nearest neighbours and their distance in Å.
Fractional positions:
La1 0.2305 0.8735 0.7695  8 Pm 3.43-3.79, 2 Sm 3.61
La2 0.7695 0.1265 0.2305  8 Pm 3.43-3.79, 2 Sm 3.61
Pm1 0.4122 0.1768 0.0628  2 Pm 3.25-3.38, 2 Sm 3.38-3.54, 1 La 3.43
Pm2 0.0628 0.8232 0.4122  2 Pm 3.25-3.38, 2 Sm 3.38-3.54, 1 La 3.43
Pm3 0.5878 0.8232 0.9372  2 Pm 3.25-3.38, 2 Sm 3.38-3.54, 1 La 3.43
Pm4 0.9372 0.1768 0.5878  2 Pm 3.25-3.38, 2 Sm 3.38-3.54, 1 La 3.43
Pm5 0.5859 0.3676 0.4141  6 Pm 3.51-3.90, 3 La 3.54-3.79, 2 Sm 3.74
Pm6 0.0000 0.0000 0.0000  4 Pm 3.38, 2 La 3.58
Pm7 0.4141 0.6324 0.5859  6 Pm 3.51-3.90, 3 La 3.54-3.79, 2 Sm 3.74
Sm1 0.7796 0.5000 0.7796  6 Pm 3.38-3.74, 2 La 3.61
Sm2 0.2204 0.5000 0.2204  6 Pm 3.38-3.74, 2 La 3.61

La4Pm3Sm2 | PBE | relaxed

M_tot (μB/f.u.): 0.00
Formation energy from the elements (eV/atom): 0.085
Calculated volume (A^3/atom): 36.329
E above lowest polymorph (meV/atom): 22

a b c (Å): 3.7262 6.8172 15.0133
angles (deg): 64.14 90.00 105.86
Last column: nearest neighbours and their distance in Å.
Fractional positions:
La1 0.6519 0.3039 0.1274  3 Sm 3.66-3.76, 4 Pm 3.70-4.07, 4 La 3.73-3.97
La2 0.1122 0.2243 0.6036  5 Pm 3.49-3.73, 2 Sm 3.62, 2 La 3.73
La3 0.8878 0.7757 0.3964  5 Pm 3.49-3.73, 2 Sm 3.62, 2 La 3.73
La4 0.3481 0.6961 0.8726  3 Sm 3.66-3.76, 4 Pm 3.70-4.07, 4 La 3.73-3.97
Pm1 0.3819 0.7638 0.6142  3 Pm 3.42-3.73, 2 Sm 3.47, 6 La 3.49-3.73
Pm2 0.0000 0.0000 0.0000  4 Sm 3.43, 2 Pm 3.73, 4 La 3.82
Pm3 0.6181 0.2362 0.3858  3 Pm 3.42-3.73, 2 Sm 3.47, 6 La 3.49-3.73
Sm1 0.3433 0.6866 0.2105  4 Pm 3.43-3.47, 5 La 3.62-3.76, 2 Sm 3.73
Sm2 0.6567 0.3134 0.7895  4 Pm 3.43-3.47, 5 La 3.62-3.76, 2 Sm 3.73

La4PmSm5 | PBE | relaxed

M_tot (μB/f.u.): 0.00
Formation energy from the elements (eV/atom): 0.159
Calculated volume (A^3/atom): 34.729
E above lowest polymorph (meV/atom): 4

a b c (Å): 6.0802 10.6880 10.6883
angles (deg): 90.00 90.00 90.00
Last column: nearest neighbours and their distance in Å.
Fractional positions:
La1 0.6303 0.0000 0.7021  1 Sm 3.12, 1 Pm 3.19, 2 La 3.44
La2 0.6300 0.7021 0.0000  1 Sm 3.12, 1 Pm 3.19, 2 La 3.44
La3 0.6300 0.2979 0.0000  1 Sm 3.12, 1 Pm 3.19, 2 La 3.44
La4 0.6303 0.0000 0.2979  1 Sm 3.12, 1 Pm 3.19, 2 La 3.44
La5 0.3697 0.5000 0.2021  1 Sm 3.12, 1 Pm 3.19, 2 La 3.44
La6 0.3700 0.7979 0.5000  1 Sm 3.12, 1 Pm 3.19, 2 La 3.44
La7 0.3700 0.2021 0.5000  1 Sm 3.12, 1 Pm 3.19, 2 La 3.44
La8 0.3697 0.5000 0.7979  1 Sm 3.12, 1 Pm 3.19, 2 La 3.44
Pm1 0.6518 0.0000 0.0000  4 La 3.19
Pm2 0.3482 0.5000 0.5000  4 La 3.19
Sm1 0.1552 0.8396 0.8396  3 Sm 3.30-3.43, 2 La 3.67
Sm2 0.1552 0.1604 0.8396  3 Sm 3.30-3.43, 2 La 3.67
Sm3 0.9998 0.5000 0.0000  4 La 3.12
Sm4 0.1552 0.8396 0.1604  3 Sm 3.30-3.43, 2 La 3.67
Sm5 0.1552 0.1604 0.1604  3 Sm 3.30-3.43, 2 La 3.67
Sm6 0.8448 0.6604 0.3396  3 Sm 3.30-3.43, 2 La 3.67
Sm7 0.8448 0.3396 0.3396  3 Sm 3.30-3.43, 2 La 3.67
Sm8 0.0002 0.0000 0.5000  4 La 3.12
Sm9 0.8448 0.3396 0.6604  3 Sm 3.30-3.43, 2 La 3.67
Sm10 0.8448 0.6604 0.6604  3 Sm 3.30-3.43, 2 La 3.67

La3Pm2Sm6 | PBE | relaxed

M_tot (μB/f.u.): 0.00
Formation energy from the elements (eV/atom): 0.246
Calculated volume (A^3/atom): 36.523
E above lowest polymorph (meV/atom): 97

a b c (Å): 4.8742 4.8742 17.2577
angles (deg): 98.12 98.12 90.00
Last column: nearest neighbours and their distance in Å.
Fractional positions:
La1 0.0000 0.0000 0.0000  8 Pm 3.77
La2 0.7943 0.7943 0.5887  9 Sm 3.48-3.81
La3 0.2057 0.2057 0.4113  9 Sm 3.48-3.81
Pm1 0.4546 0.4546 0.9092  1 Pm 3.07
Pm2 0.5454 0.5454 0.0908  1 Pm 3.07
Sm1 0.1189 0.6189 0.2378  6 Sm 3.45-3.46, 2 Pm 3.48, 2 La 3.81
Sm2 0.6189 0.1189 0.2378  6 Sm 3.45-3.46, 2 Pm 3.48, 2 La 3.81
Sm3 0.8811 0.3811 0.7622  6 Sm 3.45-3.46, 2 Pm 3.48, 2 La 3.81
Sm4 0.3811 0.8811 0.7622  6 Sm 3.45-3.46, 2 Pm 3.48, 2 La 3.81
Sm5 0.6915 0.6914 0.3829  4 Sm 3.46, 5 La 3.48
Sm6 0.3085 0.3086 0.6171  4 Sm 3.46, 5 La 3.48

La3Pm8Sm2 | PBE | relaxed

M_tot (μB/f.u.): 0.00
Formation energy from the elements (eV/atom): 0.142
Calculated volume (A^3/atom): 35.466
E above lowest polymorph (meV/atom): 0

a b c (Å): 6.2616 11.8982 8.9749
angles (deg): 131.52 73.03 90.00
Last column: nearest neighbours and their distance in Å.
Fractional positions:
La1 0.5000 0.0000 0.0000  2 Pm 3.26
La2 0.0000 0.2381 0.0000  6 Pm 3.50-3.65
La3 0.0000 0.7619 0.0000  6 Pm 3.50-3.65
Pm1 0.7823 0.4414 0.8829  5 Pm 3.26-3.64, 2 Sm 3.33-3.37, 2 La 3.61
Pm2 0.2177 0.5586 0.1171  5 Pm 3.26-3.64, 2 Sm 3.33-3.37, 2 La 3.61
Pm3 0.0473 0.8403 0.6806  3 La 3.26-3.50, 2 Sm 3.44-3.63, 1 Pm 3.51
Pm4 0.9527 0.1597 0.3194  3 La 3.26-3.50, 2 Sm 3.44-3.63, 1 Pm 3.51
Pm5 0.3205 0.9207 0.3518  2 Sm 3.47-3.65, 5 Pm 3.49-3.87, 2 La 3.65-3.74
Pm6 0.3205 0.4311 0.3518  2 Sm 3.47-3.65, 5 Pm 3.49-3.87, 2 La 3.65-3.74
Pm7 0.6795 0.5689 0.6482  2 Sm 3.47-3.65, 5 Pm 3.49-3.87, 2 La 3.65-3.74
Pm8 0.6795 0.0793 0.6482  2 Sm 3.47-3.65, 5 Pm 3.49-3.87, 2 La 3.65-3.74
Sm1 0.6414 0.7072 0.4143  8 Pm 3.33-3.65, 1 La 3.68
Sm2 0.3586 0.2928 0.5857  8 Pm 3.33-3.65, 1 La 3.68

La4Pm3Sm2 | PBE | relaxed

M_tot (μB/f.u.): 0.00
Formation energy from the elements (eV/atom): 0.063
Calculated volume (A^3/atom): 35.800
E above lowest polymorph (meV/atom): 0

a b c (Å): 3.6714 3.6714 27.6004
angles (deg): 90.00 90.00 120.00
Last column: nearest neighbours and their distance in Å.
Fractional positions:
La1 0.0000 0.0000 0.5453  9 La 3.67-3.77, 3 Pm 3.69
La2 0.6667 0.3333 0.4323  9 La 3.67-3.77, 3 Pm 3.74
La3 0.6667 0.3333 0.2133  1 Sm 3.49, 3 Pm 3.65, 6 La 3.67
La4 0.0000 0.0000 0.7657  6 La 3.67, 3 Sm 3.68, 3 Pm 3.72
Pm1 0.0000 0.0000 0.9834  6 Sm 3.56-3.67, 6 Pm 3.67
Pm2 0.0000 0.0000 0.3209  6 La 3.65-3.74, 6 Pm 3.67
Pm3 0.6667 0.3333 0.6548  6 Pm 3.67, 6 La 3.69-3.72
Sm1 0.6667 0.3333 0.0868  1 La 3.49, 3 Pm 3.56, 6 Sm 3.67
Sm2 0.6667 0.3333 0.8746  6 Sm 3.67, 3 Pm 3.67, 3 La 3.68

La4Pm7Sm | PBE | relaxed

M_tot (μB/f.u.): 0.00
Formation energy from the elements (eV/atom): 0.020
Calculated volume (A^3/atom): 35.492
E above lowest polymorph (meV/atom): 0

a b c (Å): 7.3886 9.7977 9.2162
angles (deg): 81.13 89.91 41.03
Last column: nearest neighbours and their distance in Å.
Fractional positions:
La1 0.5287 0.7191 0.3317  1 Sm 3.66, 8 Pm 3.66-3.73, 3 La 3.70-3.72
La2 0.4713 0.2809 0.6683  1 Sm 3.66, 8 Pm 3.66-3.73, 3 La 3.70-3.72
La3 0.7215 0.7791 0.6687  8 Pm 3.66-3.74, 4 La 3.69-3.72
La4 0.2785 0.2209 0.3313  8 Pm 3.66-3.74, 4 La 3.69-3.72
Pm1 0.7491 0.4993 0.9992  7 Pm 3.62-3.72, 3 La 3.66-3.67, 2 Sm 3.70-3.71
Pm2 0.2509 0.5007 0.0008  7 Pm 3.62-3.72, 3 La 3.66-3.67, 2 Sm 3.70-3.71
Pm3 0.9701 0.2777 0.6721  5 Pm 3.62-3.75, 1 Sm 3.63, 6 La 3.66-3.74
Pm4 0.0299 0.7223 0.3279  5 Pm 3.62-3.75, 1 Sm 3.63, 6 La 3.66-3.74
Pm5 0.2190 0.7810 0.6709  1 Sm 3.63, 6 Pm 3.64-3.75, 5 La 3.69-3.72
Pm6 0.5000 0.0000 0.0000  6 Pm 3.65-3.72, 4 La 3.66-3.67, 2 Sm 3.69
Pm7 0.7810 0.2190 0.3291  1 Sm 3.63, 6 Pm 3.64-3.75, 5 La 3.69-3.72
Sm1 0.0000 0.0000 0.0000  10 Pm 3.63-3.71, 2 La 3.66